*w*
## Sn2AsPb (PBE)

Data for Sn2AsPb after structural relaxation.

The structure in CIF format:
```
data_Sn2AsPb
_space_group_name_H-M_alt 'P 4/m m m'
_space_group_IT_number 123
_space_group_name_Hall '-P 4 2'
_cell_length_a 3.8013
_cell_length_b 3.8013
_cell_length_c 7.3868
_cell_angle_alpha 90.00
_cell_angle_beta 90.00
_cell_angle_gamma 90.00
loop_
_atom_site_label
_atom_site_type_symbol
_atom_site_fract_x
_atom_site_fract_y
_atom_site_fract_z
Sn1 Sn 0.0000 0.0000 0.2105
As1 As 0.5000 0.5000 0.0000
Pb1 Pb 0.5000 0.5000 0.5000
```

---

*x*
## Sn2AsPb (PBE)

Data for Sn2AsPb after structural relaxation.

The structure in CIF format:
```
data_Sn2AsPb
_space_group_name_H-M_alt 'R 3 m'
_space_group_IT_number 160
_space_group_name_Hall 'R 3 -2"'
_cell_length_a 3.9158
_cell_length_b 3.9158
_cell_length_c 25.6865
_cell_angle_alpha 90.00
_cell_angle_beta 90.00
_cell_angle_gamma 120.00
loop_
_atom_site_label
_atom_site_type_symbol
_atom_site_fract_x
_atom_site_fract_y
_atom_site_fract_z
Sn1 Sn 0.0000 0.0000 0.0000
Sn2 Sn 0.0000 0.0000 0.1972
As1 As 0.0000 0.0000 0.5998
Pb1 Pb 0.0000 0.0000 0.7677
```

---

*x* ends up most stable, edging out the next structure by 53 meV/atom.

---

*w*
## SnAs2Pb2 (PBE)

Data for SnAs2Pb2 after structural relaxation.

The structure in CIF format:
```
data_SnAs2Pb2
_space_group_name_H-M_alt 'P 4/m b m'
_space_group_IT_number 127
_space_group_name_Hall '-P 4 2ab'
_cell_length_a 8.8420
_cell_length_b 8.8420
_cell_length_c 3.4528
_cell_angle_alpha 90.00
_cell_angle_beta 90.00
_cell_angle_gamma 90.00
loop_
_atom_site_label
_atom_site_type_symbol
_atom_site_fract_x
_atom_site_fract_y
_atom_site_fract_z
Sn1 Sn 0.0000 0.0000 0.0000
As1 As 0.1635 0.3365 0.5000
Pb1 Pb 0.1387 0.6387 0.0000
```

---

*x*
## SnAs2Pb2 (PBE)

Data for SnAs2Pb2 after structural relaxation.

The structure in CIF format:
```
data_SnAs2Pb2
_space_group_name_H-M_alt 'P 4/m b m'
_space_group_IT_number 127
_space_group_name_Hall '-P 4 2ab'
_cell_length_a 8.1230
_cell_length_b 8.1230
_cell_length_c 4.0980
_cell_angle_alpha 90.00
_cell_angle_beta 90.00
_cell_angle_gamma 90.00
loop_
_atom_site_label
_atom_site_type_symbol
_atom_site_fract_x
_atom_site_fract_y
_atom_site_fract_z
Sn1 Sn 0.0000 0.0000 0.0000
As1 As 0.1644 0.3356 0.0000
Pb1 Pb 0.1481 0.6481 0.5000
```

---

*x* ends up most stable, edging out the next structure by 177 meV/atom.

---

*w*
## Sn3AsPb (PBE)

Data for Sn3AsPb after structural relaxation.

The structure in CIF format:
```
data_Sn3AsPb
_space_group_name_H-M_alt 'P m -3 m'
_space_group_IT_number 221
_space_group_name_Hall '-P 4 2 3'
_cell_length_a 5.7349
_cell_length_b 5.7349
_cell_length_c 5.7349
_cell_angle_alpha 90.00
_cell_angle_beta 90.00
_cell_angle_gamma 90.00
loop_
_atom_site_label
_atom_site_type_symbol
_atom_site_fract_x
_atom_site_fract_y
_atom_site_fract_z
Sn1 Sn 0.0000 0.0000 0.5000
As1 As 0.5000 0.5000 0.5000
Pb1 Pb 0.0000 0.0000 0.0000
```

---

*x*
## Sn3AsPb (PBE)

Data for Sn3AsPb after structural relaxation.

The structure in CIF format:
```
data_Sn3AsPb
_space_group_name_H-M_alt 'P m -3 m'
_space_group_IT_number 221
_space_group_name_Hall '-P 4 2 3'
_cell_length_a 5.4544
_cell_length_b 5.4544
_cell_length_c 5.4544
_cell_angle_alpha 90.00
_cell_angle_beta 90.00
_cell_angle_gamma 90.00
loop_
_atom_site_label
_atom_site_type_symbol
_atom_site_fract_x
_atom_site_fract_y
_atom_site_fract_z
Sn1 Sn 0.0000 0.0000 0.5000
As1 As 0.0000 0.0000 0.0000
Pb1 Pb 0.5000 0.5000 0.5000
```

---

*x* ends up most stable, edging out the next structure by 573 meV/atom.

---

*w*
## SnAsPb (PBE)

Data for SnAsPb after structural relaxation.

The structure in CIF format:
```
data_SnAsPb
_space_group_name_H-M_alt 'F -4 3 m'
_space_group_IT_number 216
_space_group_name_Hall 'F -4 2 3'
_cell_length_a 7.1537
_cell_length_b 7.1537
_cell_length_c 7.1537
_cell_angle_alpha 90.00
_cell_angle_beta 90.00
_cell_angle_gamma 90.00
loop_
_atom_site_label
_atom_site_type_symbol
_atom_site_fract_x
_atom_site_fract_y
_atom_site_fract_z
Sn1 Sn 0.0000 0.0000 0.0000
As1 As 0.2500 0.2500 0.7500
Pb1 Pb 0.0000 0.0000 0.5000
```

---

*x*
## SnAsPb (PBE)

Data for SnAsPb after structural relaxation.

The structure in CIF format:
```
data_SnAsPb
_space_group_name_H-M_alt 'C 1 2/m 1'
_space_group_IT_number 12
_space_group_name_Hall '-C 2y'
_cell_length_a 6.9907
_cell_length_b 4.0221
_cell_length_c 12.2722
_cell_angle_alpha 90.00
_cell_angle_beta 100.65
_cell_angle_gamma 90.00
loop_
_atom_site_label
_atom_site_type_symbol
_atom_site_fract_x
_atom_site_fract_y
_atom_site_fract_z
Sn1 Sn 0.1323 0.0000 0.4004
As1 As 0.2432 0.0000 0.7312
Pb1 Pb 0.1273 0.5000 0.8932
```

---

*y*
## SnAsPb (PBE)

Data for SnAsPb after structural relaxation.

The structure in CIF format:
```
data_SnAsPb
_space_group_name_H-M_alt 'F m m m'
_space_group_IT_number 69
_space_group_name_Hall '-F 2 2'
_cell_length_a 8.1626
_cell_length_b 8.6445
_cell_length_c 10.0148
_cell_angle_alpha 90.00
_cell_angle_beta 90.00
_cell_angle_gamma 90.00
loop_
_atom_site_label
_atom_site_type_symbol
_atom_site_fract_x
_atom_site_fract_y
_atom_site_fract_z
Sn1 Sn 0.0000 0.2492 0.0000
As1 As 0.2496 0.0000 0.0000
Pb1 Pb 0.0000 0.0000 0.2510
```

---

*z*
## SnAsPb (PBE)

Data for SnAsPb after structural relaxation.

The structure in CIF format:
```
data_SnAsPb
_space_group_name_H-M_alt 'P 3 m 1'
_space_group_IT_number 156
_space_group_name_Hall 'P 3 -2"'
_cell_length_a 4.0651
_cell_length_b 4.0651
_cell_length_c 5.9462
_cell_angle_alpha 90.00
_cell_angle_beta 90.00
_cell_angle_gamma 120.00
loop_
_atom_site_label
_atom_site_type_symbol
_atom_site_fract_x
_atom_site_fract_y
_atom_site_fract_z
Sn1 Sn 0.0000 0.0000 0.0000
As1 As 0.6667 0.3333 0.2577
Pb1 Pb 0.3333 0.6667 0.5881
```

---

*z* ends up most stable, edging out the next structure by 15 meV/atom.